Here is ZnCdSiS2 after structural relaxation from the Alexandria database. Energies are from PBE. Values from VASP.

The structure in Quantum ESPRESSO input format:
```
&SYSTEM
  ibrav = 0, nat = 5, ntyp = 4
/
ATOMIC_SPECIES
Zn 65.41 Zn.upf
Si 28.09 Si.upf
S 32.06 S.upf
Cd 112.41 Cd.upf
ATOMIC_POSITIONS angstrom
Zn -1.335 -3.333 -2.497
Si 0.003 -0.070 -2.583
S 0.963 -2.300 0.063
S -2.301 -0.963 0.024
Cd 0.000 0.000 0.000
CELL_PARAMETERS angstrom
-4.601 -1.926 0.047
0.005 -0.139 -5.167
1.927 -4.600 0.126
```

Computed properties:
magnetic moment = 0.000 μB/atom
Fermi-level density of states = 5.54 states/eV/f.u.
formation energy (no corrections) = 0.927 eV per atom

Here is LiPu8Pt6 after structural relaxation from the Alexandria database. Energies are from PBE. Values from VASP.

The structure in Quantum ESPRESSO input format:
```
&SYSTEM
  ibrav = 0, nat = 15, ntyp = 3
/
ATOMIC_SPECIES
Li 6.94 Li.upf
Pu 244.00 Pu.upf
Pt 195.08 Pt.upf
ATOMIC_POSITIONS angstrom
Li 0.000 0.000 0.000
Pu -2.631 -1.317 6.597
Pu -1.761 -2.371 10.016
Pu -4.467 -4.444 5.956
Pu -5.335 -1.002 8.239
Pu -4.014 -4.419 9.102
Pu -4.882 -0.977 11.385
Pu -7.588 -3.049 7.325
Pu -6.718 -4.104 10.744
Pt -1.674 -3.884 7.450
Pt -2.949 0.174 9.430
Pt -5.335 -1.761 5.425
Pt -4.014 -3.660 11.916
Pt -6.400 -5.595 7.911
Pt -7.675 -1.537 9.891
CELL_PARAMETERS angstrom
-1.106 1.662 8.269
-7.384 -1.903 3.770
-0.858 -5.180 5.302
```

Computed properties:
E_form = -501 meV/atom
magnetic moment = 2.986 μB/atom
Fermi-level density of states = 65.08 states/eV/f.u.